(1)
CeVO3 | GGA+U | relaxed

Volume = 61.8 Å³/f.u.
VASP energy = -168.77 eV for the cell shown

Cell: 5.804 7.826 5.439 Å, 90.00 90.00 90.00°
Fractional coordinates of all 20 atoms:
Ce: 0.067 0.250 0.019
Ce: 0.433 0.750 0.519
Ce: 0.567 0.250 0.481
Ce: 0.933 0.750 0.981
V: 0.000 0.000 0.500
V: 0.000 0.500 0.500
V: 0.500 0.000 0.000
V: 0.500 0.500 0.000
O: 0.045 0.750 0.383
O: 0.193 0.559 0.811
O: 0.193 0.941 0.811
O: 0.307 0.059 0.311
O: 0.307 0.441 0.311
O: 0.455 0.250 0.883
O: 0.545 0.750 0.117
O: 0.693 0.559 0.689
O: 0.693 0.941 0.689
O: 0.807 0.059 0.189
O: 0.807 0.441 0.189
O: 0.955 0.250 0.617

=====

(2)
CeV3O9 | GGA+U | relaxed

Volume = 208.5 Å³/f.u.
VASP energy = -202.28 eV for the cell shown

Cell: 7.528 7.528 7.672 Å, 90.00 90.00 106.47°
Fractional coordinates of all 26 atoms:
Ce: 0.103 0.103 0.000
Ce: 0.897 0.897 0.500
V: 0.257 0.257 0.500
V: 0.288 0.648 0.971
V: 0.352 0.712 0.529
V: 0.648 0.288 0.029
V: 0.712 0.352 0.471
V: 0.743 0.743 0.000
O: 0.124 0.155 0.678
O: 0.155 0.124 0.322
O: 0.166 0.802 0.994
O: 0.174 0.426 0.029
O: 0.198 0.834 0.506
O: 0.268 0.489 0.428
O: 0.358 0.642 0.750
O: 0.426 0.174 0.971
O: 0.489 0.268 0.572
O: 0.511 0.732 0.072
O: 0.574 0.826 0.471
O: 0.642 0.358 0.250
O: 0.732 0.511 0.928
O: 0.802 0.166 0.006
O: 0.826 0.574 0.529
O: 0.834 0.198 0.494
O: 0.845 0.876 0.822
O: 0.876 0.845 0.178

=====

(3)
Ce3VO6 | GGA+U | relaxed

Volume = 154.6 Å³/f.u.
VASP energy = -171.16 eV for the cell shown

Cell: 6.782 6.782 6.782 Å, 94.16 94.16 94.16°
Fractional coordinates of all 20 atoms:
Ce: 0.068 0.760 0.582
Ce: 0.240 0.418 0.932
Ce: 0.418 0.932 0.240
Ce: 0.582 0.068 0.760
Ce: 0.760 0.582 0.068
Ce: 0.932 0.240 0.418
V: 0.000 0.000 0.000
V: 0.500 0.500 0.500
O: 0.046 0.696 0.915
O: 0.085 0.954 0.304
O: 0.188 0.436 0.582
O: 0.304 0.085 0.954
O: 0.418 0.812 0.564
O: 0.436 0.582 0.188
O: 0.564 0.418 0.812
O: 0.582 0.188 0.436
O: 0.696 0.915 0.046
O: 0.812 0.564 0.418
O: 0.915 0.046 0.696
O: 0.954 0.304 0.085

=====

(4)
CeVO4 | GGA+U | relaxed

Volume = 79.5 Å³/f.u.
VASP energy = -195.71 eV for the cell shown

Cell: 7.009 7.424 6.830 Å, 90.00 116.55 90.00°
Fractional coordinates of all 24 atoms:
Ce: 0.198 0.165 0.340
Ce: 0.198 0.335 0.840
Ce: 0.802 0.665 0.160
Ce: 0.802 0.835 0.660
V: 0.287 0.698 0.194
V: 0.287 0.802 0.694
V: 0.713 0.198 0.306
V: 0.713 0.302 0.806
O: 0.013 0.697 0.521
O: 0.013 0.803 0.021
O: 0.188 0.504 0.250
O: 0.188 0.996 0.750
O: 0.308 0.627 0.926
O: 0.308 0.873 0.426
O: 0.408 0.213 0.173
O: 0.408 0.287 0.673
O: 0.592 0.713 0.327
O: 0.592 0.787 0.827
O: 0.692 0.127 0.574
O: 0.692 0.373 0.074
O: 0.812 0.004 0.250
O: 0.812 0.496 0.750
O: 0.987 0.197 0.979
O: 0.987 0.303 0.479

=====

(5)
Ce4V6O19 | GGA+U | relaxed

Volume = 334.2 Å³/f.u.
VASP energy = -235.63 eV for the cell shown

Cell: 7.572 7.572 7.572 Å, 109.47 109.47 109.47°
Fractional coordinates of all 29 atoms:
Ce: 0.000 0.000 0.675
Ce: 0.000 0.675 0.000
Ce: 0.325 0.325 0.325
Ce: 0.675 0.000 0.000
V: 0.162 0.662 0.500
V: 0.338 0.500 0.838
V: 0.500 0.162 0.662
V: 0.500 0.838 0.338
V: 0.662 0.500 0.162
V: 0.838 0.338 0.500
O: 0.000 0.000 0.000
O: 0.000 0.346 0.346
O: 0.000 0.654 0.654
O: 0.020 0.353 0.752
O: 0.248 0.601 0.269
O: 0.269 0.248 0.601
O: 0.333 0.980 0.731
O: 0.346 0.000 0.346
O: 0.346 0.346 0.000
O: 0.353 0.752 0.020
O: 0.399 0.647 0.667
O: 0.601 0.269 0.248
O: 0.647 0.667 0.399
O: 0.654 0.000 0.654
O: 0.654 0.654 0.000
O: 0.667 0.399 0.647
O: 0.731 0.333 0.980
O: 0.752 0.020 0.353
O: 0.980 0.731 0.333

=====

(6)
CeVO3 | GGA+U | relaxed

Volume = 60.2 Å³/f.u.
VASP energy = -41.06 eV for the cell shown

Cell: 3.920 3.920 3.920 Å, 90.00 90.00 90.00°
Fractional coordinates of all 5 atoms:
Ce: 0.000 0.000 0.000
V: 0.500 0.500 0.500
O: 0.000 0.500 0.500
O: 0.500 0.000 0.500
O: 0.500 0.500 0.000

=====

(7)
CeV2O4 | GGA+U | relaxed

Volume = 86.6 Å³/f.u.
VASP energy = -115.02 eV for the cell shown

Cell: 6.083 6.083 6.083 Å, 110.15 110.15 108.12°
Fractional coordinates of all 14 atoms:
Ce: 0.375 0.625 0.750
Ce: 0.625 0.375 0.250
V: 0.000 0.000 0.000
V: 0.000 0.000 0.500
V: 0.000 0.500 0.000
V: 0.500 0.000 0.500
O: 0.144 0.708 0.435
O: 0.227 0.292 0.935
O: 0.292 0.227 0.435
O: 0.292 0.856 0.065
O: 0.708 0.144 0.935
O: 0.708 0.773 0.565
O: 0.773 0.708 0.065
O: 0.856 0.292 0.565

=====

(8)
CeVO3 | GGA+U | relaxed

Volume = 63.8 Å³/f.u.
VASP energy = -166.41 eV for the cell shown

Cell: 6.141 5.609 7.451 Å, 90.00 96.40 90.00°
Fractional coordinates of all 20 atoms:
Ce: 0.154 0.223 0.166
Ce: 0.154 0.277 0.666
Ce: 0.846 0.723 0.334
Ce: 0.846 0.777 0.834
V: 0.409 0.742 0.072
V: 0.409 0.758 0.572
V: 0.591 0.242 0.428
V: 0.591 0.258 0.928
O: 0.091 0.673 0.617
O: 0.091 0.827 0.117
O: 0.294 0.074 0.450
O: 0.294 0.426 0.950
O: 0.447 0.574 0.330
O: 0.447 0.926 0.830
O: 0.553 0.074 0.170
O: 0.553 0.426 0.670
O: 0.706 0.574 0.050
O: 0.706 0.926 0.550
O: 0.909 0.173 0.883
O: 0.909 0.327 0.383

=====

(9)
Ce5V2O12 | GGA+U | relaxed

Volume = 267.3 Å³/f.u.
VASP energy = -163.02 eV for the cell shown

Cell: 6.994 6.994 7.429 Å, 105.12 105.12 50.18°
Fractional coordinates of all 19 atoms:
Ce: 0.000 0.000 0.000
Ce: 0.310 0.310 0.658
Ce: 0.311 0.311 0.151
Ce: 0.689 0.689 0.849
Ce: 0.690 0.690 0.342
V: 0.238 0.762 0.500
V: 0.762 0.238 0.500
O: 0.002 0.002 0.308
O: 0.094 0.568 0.410
O: 0.094 0.596 0.926
O: 0.404 0.906 0.074
O: 0.432 0.906 0.590
O: 0.499 0.499 0.685
O: 0.501 0.501 0.315
O: 0.568 0.094 0.410
O: 0.596 0.094 0.926
O: 0.906 0.404 0.074
O: 0.906 0.432 0.590
O: 0.998 0.998 0.692

=====

(10)
CeVO4 | GGA+U | relaxed

Volume = 76.0 Å³/f.u.
VASP energy = -98.29 eV for the cell shown

Cell: 6.731 6.731 6.731 Å, 134.64 134.64 66.08°
Fractional coordinates of all 12 atoms:
Ce: 0.375 0.125 0.250
Ce: 0.625 0.875 0.750
V: 0.125 0.375 0.750
V: 0.875 0.625 0.250
O: 0.042 0.197 0.329
O: 0.213 0.542 0.345
O: 0.303 0.132 0.845
O: 0.368 0.713 0.171
O: 0.632 0.287 0.829
O: 0.697 0.868 0.155
O: 0.787 0.458 0.655
O: 0.958 0.803 0.671

=====

(11)
Ce3V5O12 | GGA+U | relaxed

Volume = 263.4 Å³/f.u.
VASP energy = -660.48 eV for the cell shown

Cell: 11.103 11.103 11.103 Å, 109.47 109.47 109.47°
Fractional coordinates of all 80 atoms:
Ce: 0.125 0.250 0.375
Ce: 0.125 0.375 0.750
Ce: 0.250 0.375 0.125
Ce: 0.250 0.875 0.625
Ce: 0.375 0.125 0.250
Ce: 0.375 0.750 0.125
Ce: 0.625 0.250 0.875
Ce: 0.625 0.875 0.750
Ce: 0.750 0.125 0.375
Ce: 0.750 0.625 0.875
Ce: 0.875 0.625 0.250
Ce: 0.875 0.750 0.625
V: 0.000 0.000 0.000
V: 0.000 0.000 0.500
V: 0.000 0.500 0.000
V: 0.000 0.500 0.500
V: 0.125 0.750 0.875
V: 0.125 0.875 0.250
V: 0.250 0.125 0.875
V: 0.250 0.625 0.375
V: 0.375 0.250 0.625
V: 0.375 0.625 0.750
V: 0.500 0.000 0.000
V: 0.500 0.000 0.500
V: 0.500 0.500 0.000
V: 0.500 0.500 0.500
V: 0.625 0.375 0.250
V: 0.625 0.750 0.375
V: 0.750 0.375 0.625
V: 0.750 0.875 0.125
V: 0.875 0.125 0.750
V: 0.875 0.250 0.125
O: 0.031 0.212 0.127
O: 0.031 0.320 0.904
O: 0.084 0.712 0.680
O: 0.084 0.873 0.404
O: 0.096 0.627 0.416
O: 0.096 0.969 0.680
O: 0.127 0.031 0.212
O: 0.127 0.596 0.916
O: 0.180 0.212 0.584
O: 0.180 0.469 0.596
O: 0.212 0.127 0.031
O: 0.212 0.584 0.180
O: 0.288 0.320 0.916
O: 0.288 0.469 0.373
O: 0.320 0.904 0.031
O: 0.320 0.916 0.288
O: 0.373 0.288 0.469
O: 0.373 0.584 0.904
O: 0.404 0.084 0.873
O: 0.404 0.820 0.531
O: 0.416 0.096 0.627
O: 0.416 0.820 0.788
O: 0.469 0.373 0.288
O: 0.469 0.596 0.180
O: 0.531 0.404 0.820
O: 0.531 0.627 0.712
O: 0.584 0.180 0.212
O: 0.584 0.904 0.373
O: 0.596 0.180 0.469
O: 0.596 0.916 0.127
O: 0.627 0.416 0.096
O: 0.627 0.712 0.531
O: 0.680 0.084 0.712
O: 0.680 0.096 0.969
O: 0.712 0.531 0.627
O: 0.712 0.680 0.084
O: 0.788 0.416 0.820
O: 0.788 0.873 0.969
O: 0.820 0.531 0.404
O: 0.820 0.788 0.416
O: 0.873 0.404 0.084
O: 0.873 0.969 0.788
O: 0.904 0.031 0.320
O: 0.904 0.373 0.584
O: 0.916 0.127 0.596
O: 0.916 0.288 0.320
O: 0.969 0.680 0.096
O: 0.969 0.788 0.873

=====

(12)
CeWO6 | GGA+U | relaxed

Volume = 146.0 Å³/f.u.
VASP energy = -58.57 eV for the cell shown

Cell: 5.911 5.911 5.911 Å, 60.00 60.00 60.00°
Fractional coordinates of all 8 atoms:
Ce: 0.000 0.000 0.000
W: 0.500 0.500 0.500
O: 0.269 0.269 0.731
O: 0.269 0.731 0.269
O: 0.269 0.731 0.731
O: 0.731 0.269 0.269
O: 0.731 0.269 0.731
O: 0.731 0.731 0.269